! Ba6Hf5S16 PBE optimized geometry; values from VASP
! **Space-group type**: No. 139
! **VASP energy**: -0.4826 Ry per atom
! **E_form (uncorrected)**: -1.849 eV per atom
&SYSTEM
  ibrav = 0, nat = 27, ntyp = 3
/
ATOMIC_SPECIES
Ba 137.33 Ba.upf
Hf 178.49 Hf.upf
S 32.06 S.upf
CELL_PARAMETERS angstrom
-2.504 2.504 27.888
2.504 -2.504 27.888
2.504 2.504 -27.888
ATOMIC_POSITIONS angstrom
Ba 0.000 0.000 2.475
Ba 0.000 0.000 7.385
Ba 0.000 0.000 12.148
Ba 0.000 0.000 43.627
Ba 0.000 0.000 48.390
Ba 0.000 0.000 53.300
Hf 0.000 0.000 17.775
Hf 0.000 0.000 22.850
Hf 0.000 0.000 27.888
Hf 0.000 0.000 32.925
Hf 0.000 0.000 38.000
S 2.504 0.000 0.000
S 2.504 0.000 4.998
S 2.504 0.000 9.976
S 0.000 0.000 15.291
S 2.504 0.000 17.911
S 0.000 0.000 20.363
S 2.504 0.000 22.890
S 0.000 0.000 25.380
S 0.000 2.504 0.000
S 0.000 0.000 30.395
S 0.000 2.504 4.998
S 0.000 0.000 35.412
S 0.000 2.504 9.976
S 0.000 0.000 40.484
S 0.000 2.504 17.911
S 0.000 2.504 22.890

! KPuAlO6 PBE optimized geometry; values from VASP
! **Space-group type**: No. 163
! **VASP energy**: -0.5607 Ry per atom
! **E_form (uncorrected)**: -2.192 eV per atom
&SYSTEM
  ibrav = 0, nat = 18, ntyp = 4
/
ATOMIC_SPECIES
K 39.10 K.upf
Pu 244.00 Pu.upf
Al 26.98 Al.upf
O 16.00 O.upf
CELL_PARAMETERS angstrom
5.227 0.000 0.000
-2.613 4.527 0.000
0.000 0.000 12.099
ATOMIC_POSITIONS angstrom
K 0.000 0.000 0.000
K 0.000 0.000 6.050
Pu 0.000 3.018 3.025
Pu 2.613 1.509 9.074
Al 0.000 3.018 9.074
Al 2.613 1.509 3.025
O -0.962 1.740 7.999
O -1.588 2.824 10.149
O 0.962 1.740 10.149
O -0.626 4.490 7.999
O 1.988 0.037 1.950
O 1.026 1.703 4.100
O 1.588 2.824 7.999
O 0.626 4.490 10.149
O 3.239 0.037 4.100
O 1.652 2.787 1.950
O 4.201 1.703 1.950
O 3.575 2.787 4.100

! YAlN2F PBE optimized geometry; values from VASP
! **Fermi-level density of states**: 0.650 states/eV/atom
! **Space-group type**: No. 123
! **VASP energy**: -0.4320 Ry per atom
! **Offset from the most stable computed form**: 685.5 kJ/mol of formula units
! **E_form (uncorrected)**: -0.132 eV per atom
&SYSTEM
  ibrav = 0, nat = 5, ntyp = 4
/
ATOMIC_SPECIES
Y 88.91 Y.upf
Al 26.98 Al.upf
N 14.01 N.upf
F 19.00 F.upf
CELL_PARAMETERS angstrom
4.503 0.000 0.000
0.000 4.503 0.000
0.000 0.000 4.222
ATOMIC_POSITIONS angstrom
Y 0.000 0.000 0.000
Al 2.252 2.252 2.111
N 0.000 2.252 0.000
N 2.252 0.000 0.000
F 0.000 0.000 2.111

Which formula does entry 3 have? YAlN2F

What is the E_form (uncorrected) in the first record? -1.849 eV per atom

Which value of VASP energy does entry 2 give? -0.5607 Ry per atom

Number 3 is which compound? YAlN2F